# AcSmHo2Hg4 | the Alexandria database | PBE | optimized geometry
# Calculated total energy   -2.842 eV per atom
# Calculated formation energy   -444 meV per atom
# Calculated density   11.2 g/cm³
# V   28.1 A^3/atom
data_AcSmHo2Hg4
_chemical_formula_sum 'Ac3 Sm3 Ho6 Hg12'
_cell_length_a 5.3607
_cell_length_b 5.3607
_cell_length_c 27.0635
_cell_angle_alpha 90.00
_cell_angle_beta 90.00
_cell_angle_gamma 120.00
_space_group_name_H-M_alt 'R -3 m'
_space_group_IT_number 166
_space_group_name_Hall '-R 3 2"'
loop_
_atom_site_label
_atom_site_type_symbol
_atom_site_fract_x
_atom_site_fract_y
_atom_site_fract_z
_atom_site_occupancy
Ac1 Ac 0.0000 0.0000 0.0000 1
Sm1 Sm 0.0000 0.0000 0.5000 1
Ho1 Ho 0.0000 0.0000 0.2463 1
Hg1 Hg 0.0000 0.0000 0.1277 1
Hg2 Hg 0.0000 0.0000 0.3824 1